# LiAg3Te | the Alexandria database | PBE | relaxed
data_LiAg3Te
_chemical_formula_sum 'Li1 Ag3 Te1'
_cell_length_a 4.6772
_cell_length_b 4.6772
_cell_length_c 4.6772
_cell_angle_alpha 90.00
_cell_angle_beta 90.00
_cell_angle_gamma 90.00
_symmetry_space_group_name_H-M 'P m -3 m'
_symmetry_Int_Tables_number 221
_symmetry_space_group_name_Hall '-P 4 2 3'
loop_
_atom_site_label
_atom_site_fract_x
_atom_site_fract_y
_atom_site_fract_z
_atom_site_occupancy
Li1 0.0000 0.0000 0.0000 1
Ag1 0.0000 0.0000 0.5000 1
Te1 0.5000 0.5000 0.5000 1
# - Calculated volume: 20.464 A^3/atom
# - Energy above the most stable polymorph in this dataset: 0 meV per atom
# - VASP energy: -2.415 eV/atom
# - Total magnetic moment: 0.00 μB per cell
# - Formation energy from raw total energies: 1.54 eV per formula unit